Record 1
BaLiLa2: optimized geometry, PBE-GGA.

Cell lengths 3.8334, 3.8334, 36.5193 Å; angles 90.00, 90.00, 120.00 degrees
Space group R3m (No. 160, hexagonal axes)
One atom of each set of equivalent atoms:
Ba: 0.0000 0.0000 0.0000 x3
Li: 0.0000 0.0000 0.2498 x3
La: 0.0000 0.0000 0.5061 x3
La: 0.0000 0.0000 0.7603 x3

Calculated values
DOS(E_F)   14.93 states/eV per cell
E above lowest polymorph   1.07 kcal/mol of atoms
DFT formation energy   0.139 eV/atom
Final energy   -3.284 eV per atom

***

Record 2
Ca2BeSi2: optimized geometry, PBE-GGA.

Cell lengths 6.6404, 6.6404, 4.6042 Å; angles 90.00, 90.00, 90.00 degrees
Space group P4/mbm (No. 127)
One atom of each set of equivalent atoms:
Ca: 0.1724 0.3276 0.0000 x4
Be: 0.0000 0.0000 0.5000 x2
Si: 0.1313 0.6313 0.5000 x4

Calculated values
DOS(E_F)   4.08 states/eV per cell
E above lowest polymorph   4.55 kcal/mol of atoms
Formation energy from raw total energies   -170 meV per atom
Final energy   -3.886 eV per atom